Below is crystalline IrPdRhS4 at its relaxed geometry, with properties calculated at the PBE level.

Geometry as CIF:
```
data_IrPdRhS4
_chemical_formula_sum 'Ir4 Pd4 Rh4 S16'
_symmetry_space_group_name_H-M 'I m m a'
_symmetry_Int_Tables_number 74
_symmetry_space_group_name_Hall '-I 2b 2'
_cell_length_a 7.044
_cell_length_b 7.103
_cell_length_c 9.972
_cell_angle_alpha 90.00
_cell_angle_beta 90.00
_cell_angle_gamma 90.00
loop_
_atom_site_label
_atom_site_type_symbol
_atom_site_fract_x
_atom_site_fract_y
_atom_site_fract_z
Ir1 Ir 0.000 0.000 0.000
Pd1 Pd 0.000 0.250 0.372
Rh1 Rh 0.250 0.250 0.750
S1 S 0.000 0.024 0.762
S2 S 0.224 0.250 0.989
```

Summary:
* crystal system: orthorhombic
* calculated volume: 17.82 A^3/atom
* uncorrected formation energy: -0.38 eV per atom

Below is crystalline IrPd2RhSe8 at its relaxed geometry, with properties calculated at the PBE level.

Geometry as CIF:
```
data_IrPd2RhSe8
_chemical_formula_sum 'Ir2 Pd4 Rh2 Se16'
_symmetry_space_group_name_H-M 'I -4 m 2'
_symmetry_Int_Tables_number 119
_symmetry_space_group_name_Hall 'I -4 -2'
_cell_length_a 8.054
_cell_length_b 8.054
_cell_length_c 8.531
_cell_angle_alpha 90.00
_cell_angle_beta 90.00
_cell_angle_gamma 90.00
loop_
_atom_site_label
_atom_site_type_symbol
_atom_site_fract_x
_atom_site_fract_y
_atom_site_fract_z
Ir1 Ir 0.000 0.000 0.000
Pd1 Pd 0.000 0.000 0.500
Pd2 Pd 0.000 0.500 0.750
Rh1 Rh 0.000 0.500 0.250
Se1 Se 0.000 0.177 0.268
Se2 Se 0.000 0.321 0.981
```

Summary:
* crystal system: tetragonal
* calculated volume: 23.05 A^3/atom
* uncorrected formation energy: 0.15 eV per atom

Below is crystalline TcIrPdRh3 at its relaxed geometry, with properties calculated at the PBE level.

Geometry as CIF:
```
data_TcIrPdRh3
_chemical_formula_sum 'Tc4 Ir4 Pd4 Rh12'
_symmetry_space_group_name_H-M 'C m c m'
_symmetry_Int_Tables_number 63
_symmetry_space_group_name_Hall '-C 2c 2'
_cell_length_a 2.741
_cell_length_b 14.249
_cell_length_c 8.884
_cell_angle_alpha 90.00
_cell_angle_beta 90.00
_cell_angle_gamma 90.00
loop_
_atom_site_label
_atom_site_type_symbol
_atom_site_fract_x
_atom_site_fract_y
_atom_site_fract_z
Tc1 Tc 0.000 0.000 0.000
Ir1 Ir 0.000 0.446 0.250
Pd1 Pd 0.000 0.222 0.750
Rh1 Rh 0.000 0.109 0.250
Rh2 Rh 0.000 0.339 0.503
```

Summary:
* crystal system: orthorhombic
* calculated volume: 14.46 A^3/atom
* energy of formation: -36.1 meV per atom

Below is crystalline Ti2IrPdRh at its relaxed geometry, with properties calculated at the PBE level.

Geometry as CIF:
```
data_Ti2IrPdRh
_chemical_formula_sum 'Ti2 Ir1 Pd1 Rh1'
_symmetry_space_group_name_H-M 'P 4/m m m'
_symmetry_Int_Tables_number 123
_symmetry_space_group_name_Hall '-P 4 2'
_cell_length_a 4.583
_cell_length_b 4.583
_cell_length_c 4.867
_cell_angle_alpha 90.00
_cell_angle_beta 90.00
_cell_angle_gamma 90.00
loop_
_atom_site_label
_atom_site_type_symbol
_atom_site_fract_x
_atom_site_fract_y
_atom_site_fract_z
Ti1 Ti 0.000 0.500 0.000
Ir1 Ir 0.000 0.000 0.000
Pd1 Pd 0.000 0.000 0.500
Rh1 Rh 0.500 0.500 0.500
```

Summary:
* crystal system: tetragonal
* calculated volume: 20.44 A^3/atom
* energy of formation: 631.9 meV per atom

Below is crystalline UIrPdRh at its relaxed geometry, with properties calculated at the PBE level.

Geometry as CIF:
```
data_UIrPdRh
_chemical_formula_sum 'U1 Ir1 Pd1 Rh1'
_symmetry_space_group_name_H-M 'P m m m'
_symmetry_Int_Tables_number 47
_cell_length_a 3.925
_cell_length_b 4.122
_cell_length_c 4.125
_cell_angle_alpha 90.00
_cell_angle_beta 90.00
_cell_angle_gamma 90.00
loop_
_symmetry_equiv_pos_as_xyz
'x,y,z'
'-x,-y,-z'
'-x,-y,z'
'x,y,-z'
'x,-y,-z'
'-x,y,z'
'-x,y,-z'
'x,-y,z'
loop_
_atom_site_label
_atom_site_type_symbol
_atom_site_fract_x
_atom_site_fract_y
_atom_site_fract_z
U1 U 0.000 0.000 0.000
Ir1 Ir 0.500 0.000 0.500
Pd1 Pd 0.000 0.500 0.500
Rh1 Rh 0.500 0.500 0.000
```

Summary:
* crystal system: orthorhombic
* calculated volume: 16.69 A^3/atom
* energy of formation: -601.0 meV per atom

Below is crystalline IrPdRu at its relaxed geometry, with properties calculated at the PBE level.

Geometry as CIF:
```
data_IrPdRu
_chemical_formula_sum 'Ir2 Pd2 Ru2'
_symmetry_space_group_name_H-M 'I 4 m m'
_symmetry_Int_Tables_number 107
_symmetry_space_group_name_Hall 'I 4 -2'
_cell_length_a 2.735
_cell_length_b 2.735
_cell_length_c 11.736
_cell_angle_alpha 90.00
_cell_angle_beta 90.00
_cell_angle_gamma 90.00
loop_
_atom_site_label
_atom_site_type_symbol
_atom_site_fract_x
_atom_site_fract_y
_atom_site_fract_z
Ir1 Ir 0.000 0.000 0.000
Pd1 Pd 0.000 0.000 0.324
Ru1 Ru 0.000 0.000 0.651
```

Summary:
* crystal system: tetragonal
* calculated volume: 14.63 A^3/atom
* E above lowest polymorph: 60 meV/atom
* energy of formation: 75.6 meV per atom

no.,E_tot (eV per cell)
1,-162.279
2,-105.377
3,-186.762
4,-34.036
5,-35.097
6,-46.206